Entry 1:
AlTcAg | Alexandria via LeMat-Bulk | SCAN | PBEsol geometry; energy relative to the elements = 0.6797 eV/atom; symmetry = F-43m, No. 216; V = 18.026 A^3/atom
1.0
0.000 3.001 3.001
3.001 0.000 3.001
3.001 3.001 0.000
Al Tc Ag
1 1 1
direct
0.000 0.000 0.000 Al
0.500 0.500 0.500 Tc
0.250 0.250 0.250 Ag

Entry 2:
AlTcAg2 | Alexandria via LeMat-Bulk | SCAN | PBEsol geometry; energy relative to the elements = 0.1443 eV/atom; symmetry = Immm, No. 71; V = 15.306 A^3/atom
1.0
-1.387 2.296 4.805
1.387 -2.296 4.805
1.387 2.296 -4.805
Al Tc Ag
1 1 2
direct
0.000 0.000 0.000 Al
0.500 0.500 0.000 Tc
0.237 0.737 0.500 Ag
0.763 0.263 0.500 Ag

Entry 3:
AlTcAg2 | Alexandria via LeMat-Bulk | SCAN | PBEsol geometry; energy relative to the elements = 0.2454 eV/atom; symmetry = R-3m, No. 166; V = 15.298 A^3/atom
1.0
1.384 0.799 9.216
-1.384 0.799 9.216
0.000 -1.599 9.216
Al Tc Ag
1 1 2
direct
0.000 0.000 0.000 Al
0.500 0.500 0.500 Tc
0.252 0.252 0.252 Ag
0.748 0.748 0.748 Ag

Entry 4:
AlTcAg | Alexandria via LeMat-Bulk | SCAN | PBEsol geometry; energy relative to the elements = 0.1255 eV/atom; symmetry = P-6m2, No. 187; V = 14.947 A^3/atom
1.0
4.370 0.000 0.000
-2.185 3.785 0.000
0.000 0.000 2.711
Al Tc Ag
1 1 1
direct
0.000 0.000 0.000 Al
0.667 0.333 0.500 Tc
0.333 0.667 0.000 Ag

Entry 5:
Al2TcAg | Alexandria via LeMat-Bulk | SCAN | PBEsol geometry; energy relative to the elements = -0.3713 eV/atom; symmetry = P4/mmm, No. 123; V = 14.725 A^3/atom
1.0
3.136 0.000 0.000
0.000 3.136 0.000
0.000 0.000 5.988
Al Tc Ag
2 1 1
direct
0.000 0.000 0.220 Al
0.000 0.000 0.780 Al
0.500 0.500 0.000 Tc
0.500 0.500 0.500 Ag

Entry 6:
TiAlTc2Ag | Alexandria via LeMat-Bulk | SCAN | PBEsol geometry; energy relative to the elements = 1.7767 eV/atom; symmetry = P4/mmm, No. 123; V = 20.522 A^3/atom
1.0
4.750 0.000 0.000
0.000 4.750 0.000
0.000 0.000 4.549
Ti Al Tc Ag
1 1 2 1
direct
0.000 0.000 0.000 Ti
0.500 0.500 0.000 Al
0.000 0.500 0.500 Tc
0.500 0.000 0.500 Tc
0.000 0.000 0.500 Ag

Entry 7:
AlAgTe2 | Alexandria via LeMat-Bulk | SCAN | PBEsol geometry; symmetry = I-42d, No. 122; ΔE_f (raw) = -387 meV/atom; V = 29.852 A^3/atom
1.0
-3.141 3.141 6.052
3.141 -3.141 6.052
3.141 3.141 -6.052
Al Ag Te
2 2 4
direct
0.000 0.000 0.000 Al
0.750 0.250 0.500 Al
0.250 0.750 0.500 Ag
0.500 0.500 0.000 Ag
0.110 0.625 0.985 Te
0.375 0.360 0.485 Te
0.640 0.125 0.015 Te
0.875 0.890 0.515 Te

Entry 8:
AlAgTe2 | Alexandria via LeMat-Bulk | SCAN | PBEsol geometry; symmetry = R3m, No. 160; ΔE_f (raw) = 27 meV/atom; V = 23.998 A^3/atom
1.0
1.694 0.978 9.661
-1.694 0.978 9.661
0.000 -1.956 9.661
Al Ag Te
1 1 2
direct
0.000 0.000 0.000 Al
0.729 0.729 0.729 Ag
0.264 0.264 0.264 Te
0.473 0.473 0.473 Te

Entry 9:
AlTl2Ag | Alexandria via LeMat-Bulk | SCAN | PBEsol geometry; energy relative to the elements = 0.3213 eV/atom; symmetry = F-43m, No. 216; V = 22.657 A^3/atom
1.0
0.000 3.565 3.565
3.565 0.000 3.565
3.565 3.565 0.000
Al Tl Ag
1 2 1
direct
0.000 0.000 0.000 Al
0.500 0.500 0.500 Tl
0.750 0.750 0.750 Tl
0.250 0.250 0.250 Ag

Entry 10:
AlTlAg2 | Alexandria via LeMat-Bulk | SCAN | PBEsol geometry; energy relative to the elements = 0.1191 eV/atom; symmetry = P4mm, No. 99; V = 18.745 A^3/atom
1.0
3.568 0.000 0.000
0.000 3.568 0.000
0.000 0.000 5.889
Al Tl Ag
1 1 2
direct
0.000 0.000 0.000 Al
0.500 0.500 0.286 Tl
0.000 0.000 0.548 Ag
0.500 0.500 0.791 Ag

Entry 11:
AlTlAg2 | Alexandria via LeMat-Bulk | SCAN | PBEsol geometry; energy relative to the elements = 0.1597 eV/atom; symmetry = Cmmm, No. 65; V = 18.795 A^3/atom
1.0
2.924 -4.001 0.000
2.924 4.001 0.000
0.000 0.000 3.214
Al Tl Ag
1 1 2
direct
0.000 0.000 0.000 Al
0.500 0.500 0.000 Tl
0.000 0.500 0.500 Ag
0.500 0.000 0.500 Ag

Entry 12:
AlTlAg2 | Alexandria via LeMat-Bulk | SCAN | PBEsol geometry; energy relative to the elements = 0.2172 eV/atom; symmetry = F-43m, No. 216; V = 19.059 A^3/atom
1.0
0.000 3.365 3.365
3.365 0.000 3.365
3.365 3.365 0.000
Al Tl Ag
1 1 2
direct
0.000 0.000 0.000 Al
0.250 0.250 0.250 Tl
0.500 0.500 0.500 Ag
0.750 0.750 0.750 Ag

Entry 13:
AlTlAg2 | Alexandria via LeMat-Bulk | SCAN | PBEsol geometry; energy relative to the elements = 0.1350 eV/atom; symmetry = Immm, No. 71; V = 19.019 A^3/atom
1.0
-1.521 2.625 4.765
1.521 -2.625 4.765
1.521 2.625 -4.765
Al Tl Ag
1 1 2
direct
0.000 0.000 0.000 Al
0.500 0.500 0.000 Tl
0.228 0.728 0.500 Ag
0.772 0.272 0.500 Ag

Entry 14:
Al2Tl2Ag | Alexandria via LeMat-Bulk | SCAN | PBEsol geometry; energy relative to the elements = 0.3079 eV/atom; symmetry = I4/mmm, No. 139; V = 22.809 A^3/atom
1.0
-1.856 1.856 8.276
1.856 -1.856 8.276
1.856 1.856 -8.276
Al Tl Ag
2 2 1
direct
0.250 0.750 0.500 Al
0.750 0.250 0.500 Al
0.097 0.097 0.000 Tl
0.903 0.903 0.000 Tl
0.500 0.500 0.000 Ag

Entry 15:
TmAlAg2 | Alexandria via LeMat-Bulk | SCAN | PBEsol geometry; energy relative to the elements = -0.4055 eV/atom; symmetry = Fm-3m, No. 225; V = 18.497 A^3/atom
1.0
0.000 3.332 3.332
3.332 0.000 3.332
3.332 3.332 0.000
Tm Al Ag
1 1 2
direct
0.000 0.000 0.000 Tm
0.500 0.500 0.500 Al
0.250 0.250 0.250 Ag
0.750 0.750 0.750 Ag

Entry 16:
AlAgW2 | Alexandria via LeMat-Bulk | SCAN | PBEsol geometry; energy relative to the elements = 0.3020 eV/atom; symmetry = P2/m, No. 10; V = 15.559 A^3/atom
1.0
2.705 0.000 0.000
0.000 4.390 0.000
-0.898 0.000 5.242
Al Ag W
1 1 2
direct
0.000 0.000 0.000 Al
0.000 0.000 0.500 Ag
0.486 0.500 0.237 W
0.514 0.500 0.763 W

Entry 17:
AlAgW2 | Alexandria via LeMat-Bulk | SCAN | PBEsol geometry; energy relative to the elements = 0.3723 eV/atom; symmetry = Pmm2, No. 25; V = 15.831 A^3/atom
1.0
2.684 0.000 0.000
0.000 4.151 0.000
0.000 0.000 5.684
Al Ag W
1 1 2
direct
0.000 0.000 0.000 Al
0.500 0.500 0.770 Ag
0.000 0.000 0.486 W
0.500 0.500 0.265 W

Entry 18:
AlAgW2 | Alexandria via LeMat-Bulk | SCAN | PBEsol geometry; energy relative to the elements = 0.3362 eV/atom; symmetry = I4/mmm, No. 139; V = 15.542 A^3/atom
1.0
-1.882 1.882 4.388
1.882 -1.882 4.388
1.882 1.882 -4.388
Al Ag W
1 1 2
direct
0.000 0.000 0.000 Al
0.500 0.500 0.000 Ag
0.250 0.750 0.500 W
0.750 0.250 0.500 W

Entry 19:
AlAgW2 | Alexandria via LeMat-Bulk | SCAN | PBEsol geometry; energy relative to the elements = 0.2303 eV/atom; symmetry = P4mm, No. 99; V = 15.927 A^3/atom
1.0
3.256 0.000 0.000
0.000 3.256 0.000
0.000 0.000 6.008
Al Ag W
1 1 2
direct
0.000 0.000 0.000 Al
0.500 0.500 0.776 Ag
0.000 0.000 0.471 W
0.500 0.500 0.270 W

Entry 20:
AlAgW2 | Alexandria via LeMat-Bulk | SCAN | PBEsol geometry; energy relative to the elements = 0.4061 eV/atom; symmetry = I-4m2, No. 119; V = 15.557 A^3/atom
1.0
-2.033 2.033 3.763
2.033 -2.033 3.763
2.033 2.033 -3.763
Al Ag W
1 1 2
direct
0.000 0.000 0.000 Al
0.250 0.750 0.500 Ag
0.500 0.500 0.000 W
0.750 0.250 0.500 W